Entry 1:
Nd3P: optimized geometry, GGA-PBE.

The space group is I4/mmm (No. 139) and the conventional cell measures 4.586, 4.586 and 10.214 Å, with angles of 90.00, 90.00 and 90.00 degrees. Symmetry generates all atoms from Nd at (0.000, 0.000, 0.000), Nd at (0.000, 0.500, 0.250) and P at (0.000, 0.000, 0.500).

The volume is 214.8 Å³/cell. Its mass density is 7.17 g cm⁻³. The total energy is -5.25 eV/atom.



Entry 2:
ZrCu2Se2S: optimized geometry, GGA-PBE.

The space group is C2/m (No. 12) and the conventional cell measures 19.326, 3.842 and 6.885 Å, with angles of 90.00, 98.58 and 90.00 degrees. Symmetry generates all atoms from Zr at (0.146, 0.000, 0.040), Cu at (0.048, 0.500, 0.164), Cu at (0.207, 0.000, 0.442), Se at (0.080, 0.500, 0.822), Se at (0.246, 0.500, 0.216) and S at (0.089, 0.000, 0.333).

The volume is 505.5 Å³/cell. Its mass density is 5.36 g cm⁻³. The total energy is -5.30 eV/atom. For the relative energy among the computed polymorphs, the calculation gives 8 meV/atom.



Entry 3:
CsLuNiTe3: optimized geometry, GGA-PBE.

The space group is Cmcm (No. 63) and the conventional cell measures 4.204, 17.539 and 11.084 Å, with angles of 90.00, 90.00 and 90.00 degrees. Symmetry generates all atoms from Cs at (0.000, 0.242, 0.250), Lu at (0.000, 0.500, 0.000), Ni at (0.000, 0.026, 0.750), Te at (0.000, 0.115, 0.568) and Te at (0.000, 0.440, 0.750).

The volume is 817.3 Å³/cell. Its mass density is 6.09 g cm⁻³. The total energy is -4.27 eV/atom. For the relative energy among the computed polymorphs, the calculation gives 27 meV/atom.



Entry 4:
HoTm2Al2Cd3In: optimized geometry, GGA-PBE.

The space group is Amm2 (No. 38) and the conventional cell measures 4.532, 12.600 and 7.261 Å, with angles of 90.00, 90.00 and 90.00 degrees. Symmetry generates all atoms from Ho at (0.000, 0.000, 0.000), Tm at (0.000, 0.219, 0.656), Al at (0.500, 0.167, 0.937), Cd at (0.500, 0.000, 0.693), Cd at (0.500, 0.128, 0.309) and In at (0.000, 0.000, 0.438).

The volume is 414.6 Å³/cell. Its mass density is 8.08 g cm⁻³. The total energy is -3.31 eV/atom.



- What is the volume in the third record?
  817.3 Å³/cell